No. 1
First-principles (PBE) data for crystalline LiMg at its relaxed geometry, as listed in Alexandria.

The structure belongs to space group Immm (No. 71); the cell edges are 3.003, 5.124 and 5.562 Å and the angles 90.00°, 90.00° and 90.00°. The asymmetric unit holds Li at (0.000, 0.000, 0.000) and Mg at (0.000, 0.000, 0.500).

For the size of the total moment, the calculation gives 0.000 μB per atom. The theoretical density is 1.21 g/cm³. Its total energy is -1.65 eV per atom.



No. 2
First-principles (PBE) data for crystalline Sr6TlAu2 at its relaxed geometry, as listed in Alexandria.

The structure belongs to space group Immm (No. 71); the cell edges are 10.407, 10.993 and 11.811 Å and the angles 90.00°, 90.00° and 90.00°. The asymmetric unit holds Sr at (0.000, 0.190, 0.243), Sr at (0.190, 0.500, 0.163), Sr at (0.216, 0.323, 0.500), Tl at (0.000, 0.000, 0.000), Tl at (0.000, 0.000, 0.500), Au at (0.000, 0.328, 0.000) and Au at (0.000, 0.500, 0.372).

For the size of the total moment, the calculation gives 0.000 μB per atom. The theoretical density is 5.53 g/cm³. Its total energy is -2.58 eV per atom.



No. 3
First-principles (PBE) data for crystalline Y2Ag2As at its relaxed geometry, as listed in Alexandria.

The structure belongs to space group I4/mmm (No. 139); the cell edges are 5.694, 5.694 and 7.868 Å and the angles 90.00°, 90.00° and 90.00°. The asymmetric unit holds Y at (0.000, 0.500, 0.250), Ag at (0.000, 0.000, 0.160) and As at (0.000, 0.000, 0.500).

For the size of the total moment, the calculation gives 0.000 μB per atom. The theoretical density is 6.10 g/cm³. Its total energy is -4.74 eV per atom.



Q: Look up the theoretical density of the second one.
A: 5.53 g/cm³



Please write out number 3 again, unchanged.
First-principles (PBE) data for crystalline Y2Ag2As at its relaxed geometry, as listed in Alexandria.

The structure belongs to space group I4/mmm (No. 139); the cell edges are 5.694, 5.694 and 7.868 Å and the angles 90.00°, 90.00° and 90.00°. The asymmetric unit holds Y at (0.000, 0.500, 0.250), Ag at (0.000, 0.000, 0.160) and As at (0.000, 0.000, 0.500).

For the size of the total moment, the calculation gives 0.000 μB per atom. The theoretical density is 6.10 g/cm³. Its total energy is -4.74 eV per atom.



Q: What is the formula in the second record?
A: Sr6TlAu2



Q: Which of these has the lowest theoretical density?
A: LiMg